Entry 1:
Material: LiAlRu2
Method: DFT, GGA-PBE
State: relaxed

Lattice parameters (Å, degrees): 4.5653 4.5653 2.8346 90.00 90.00 112.32
Sites, in units of the cell vectors:
Li (0.0000, 0.0000, 0.0000)
Al (0.5000, 0.5000, 0.0000)
Ru (0.0000, 0.5000, 0.5000)
Ru (0.5000, 0.0000, 0.5000)

Summary:
The total DFT energy (no corrections) comes out at -6.053 eV/atom. The value obtained for the formation energy is 0.00 eV/atom. As for the crystal system: orthorhombic.

---

Entry 2:
Material: Tb2Ga2CuRh5
Method: DFT, GGA-PBE
State: relaxed

Lattice parameters (Å, degrees): 9.7683 9.7683 3.5224 90.00 90.00 90.00
Sites, in units of the cell vectors:
Tb (0.1737, 0.3263, 0.0000)
Tb (0.3263, 0.8263, 0.0000)
Tb (0.6737, 0.1737, 0.0000)
Tb (0.8263, 0.6737, 0.0000)
Ga (0.1264, 0.6264, 0.0000)
Ga (0.3736, 0.1264, 0.0000)
Ga (0.6264, 0.8736, 0.0000)
Ga (0.8736, 0.3736, 0.0000)
Cu (0.0000, 0.0000, 0.0000)
Cu (0.5000, 0.5000, 0.0000)
Rh (0.0000, 0.5000, 0.5000)
Rh (0.0655, 0.7996, 0.5000)
Rh (0.2004, 0.0655, 0.5000)
Rh (0.2996, 0.5655, 0.5000)
Rh (0.4345, 0.2996, 0.5000)
Rh (0.5000, 0.0000, 0.5000)
Rh (0.5655, 0.7004, 0.5000)
Rh (0.7004, 0.4345, 0.5000)
Rh (0.7996, 0.9345, 0.5000)
Rh (0.9345, 0.2004, 0.5000)

Summary:
The total DFT energy (no corrections) comes out at -6.239 eV/atom. The value obtained for the formation energy is -0.62 eV/atom. As for the crystal system: tetragonal.

---

Entry 3:
Material: CaMnCr2In
Method: DFT, GGA-PBE
State: relaxed

Lattice parameters (Å, degrees): 4.8751 4.8751 5.3607 90.00 90.00 90.00
Sites, in units of the cell vectors:
Ca (0.0000, 0.0000, 0.0000)
Mn (0.5000, 0.5000, 0.5000)
Cr (0.0000, 0.5000, 0.0000)
Cr (0.5000, 0.0000, 0.0000)
In (0.0000, 0.0000, 0.5000)

Summary:
The total DFT energy (no corrections) comes out at -4.278 eV/atom. The value obtained for the formation energy is 2.35 eV/atom. As for the crystal system: tetragonal.

---

Entry 4:
Material: Rb2LaCd2O4
Method: DFT, GGA-PBE
State: relaxed

Lattice parameters (Å, degrees): 8.1288 8.1288 7.0284 100.37 100.37 26.18
Sites, in units of the cell vectors:
Rb (0.1238, 0.1238, 0.0707)
Rb (0.8762, 0.8762, 0.9293)
La (0.0000, 0.0000, 0.5000)
Cd (0.3176, 0.3176, 0.4508)
Cd (0.6824, 0.6824, 0.5492)
O (0.1494, 0.1494, 0.6999)
O (0.4451, 0.4451, 0.6720)
O (0.5549, 0.5549, 0.3280)
O (0.8506, 0.8506, 0.3001)

Summary:
The total DFT energy (no corrections) comes out at -4.757 eV/atom. For the energy relative to the elements, uncorrected, the calculation gives -14.285 eV per formula unit. As for the crystal system: monoclinic.

---

Entry 5:
Material: LaCo2Cu
Method: DFT, GGA-PBE
State: relaxed

Lattice parameters (Å, degrees): 4.9701 4.9701 4.9701 132.99 132.99 68.67
Sites, in units of the cell vectors:
La (0.0000, 0.0000, 0.0000)
Co (0.2500, 0.7500, 0.5000)
Co (0.5000, 0.5000, 0.0000)
Cu (0.7500, 0.2500, 0.5000)

Summary:
The total DFT energy (no corrections) comes out at -5.516 eV/atom. The value obtained for the formation energy is 0.29 eV/atom. As for the crystal system: tetragonal.

---

Entry 6:
Material: NiPb2
Method: DFT, GGA-PBE
State: relaxed

Lattice parameters (Å, degrees): 6.8945 6.8945 6.8945 152.13 152.13 39.83
Sites, in units of the cell vectors:
Ni (0.0000, 0.0000, 0.0000)
Pb (0.3712, 0.3712, 0.0000)
Pb (0.6288, 0.6288, 0.0000)

Summary:
The total DFT energy (no corrections) comes out at -4.248 eV/atom. The value obtained for the formation energy is 0.15 eV/atom. As for the crystal system: tetragonal.